# 1
Compound: Gd2MgIn
Source: Alexandria
Functional: GGA-PBE
Structure: optimized geometry

Geometry as POSCAR:
```
Gd2MgIn
1.0
-0.1040 4.2409 3.2755
-2.8250 -0.1971 4.5504
2.5319 -0.1966 4.7198
In Gd Mg
1 2 1
direct
0.5000 0.5000 0.5000
0.2500 0.2500 0.2500
0.7500 0.7500 0.7500
0.0000 0.0000 0.0000
```

## Properties
SG: Fm-3m, No. 225
Calculated formation energy: -0.3445 eV/atom
Size of the total moment: 15.00 μB/cell
Offset from the most stable computed form: 0 meV per atom
E: -8.4682 eV/atom
Mass density: 6.9 Mg/m³

---

# 2
Compound: GdMg2In
Source: Alexandria
Functional: GGA-PBE
Structure: optimized geometry

Geometry as POSCAR:
```
GdMg2In
1.0
-4.4776 0.2201 1.7734
1.2140 -2.7497 3.4063
1.1670 3.6103 2.4984
Mg In Gd
2 1 1
direct
0.0000 0.0000 0.5000
0.0000 0.5000 0.0000
0.5000 0.0000 0.0000
0.5000 0.5000 0.5000
```

## Properties
SG: P4/mmm, No. 123
Calculated formation energy: -0.2753 eV/atom
Size of the total moment: 7.27 μB/cell
Offset from the most stable computed form: 0 meV per atom
E: -5.2775 eV/atom
Mass density: 5.4 Mg/m³

---

# 3
Compound: GdMg2In
Source: Alexandria
Functional: GGA-PBE
Structure: optimized geometry

Geometry as POSCAR:
```
GdMg2In
1.0
-4.4872 0.7433 -2.3996
-4.3229 0.5245 2.7356
-2.3331 4.5749 0.2696
Mg In Gd
2 1 1
direct
0.7500 0.7500 0.7500
0.2500 0.2500 0.2500
0.0000 0.0000 0.0000
0.5000 0.5000 0.5000
```

## Properties
SG: Fm-3m, No. 225
Calculated formation energy: -0.1536 eV/atom
Size of the total moment: 7.07 μB/cell
Offset from the most stable computed form: 122 meV per atom
E: -5.1558 eV/atom
Mass density: 5.5 Mg/m³